# SrMn2P

A relaxed structure of SrMn2P (GGA-PBEsol, the Alexandria database).

Cell lengths 3.0138, 3.0138, 7.0991 Å; angles 90.00, 90.00, 90.00 degrees
Last column: nearest neighbours and their distance in Å.
Positions (direct):
Mn1 0.0000 0.0000 0.8367  1 Mn 2.32, 4 P 2.43
Mn2 0.0000 0.0000 0.1633  1 Mn 2.32, 4 P 2.43
P1 0.5000 0.5000 0.0000  8 Mn 2.43
Sr1 0.5000 0.5000 0.5000  4 Sr 3.01, 8 Mn 3.20

Results
magnetization = 4.27 Bohr magnetons per cell
DOS(E_F) = 3.257 states/eV/cell
space group = No. 123
formation energy from the elements = 0.306 eV per atom